Material: Re2Ni2H
Method: DFT, PBE-GGA
State: optimized geometry

Output
DOS at the Fermi energy in states/eV/f.u.: 4.4
VASP energy in eV per atom: -6.960
Distance to the lowest polymorph of the same formula in eV/f.u.: 0.595

```
Re2Ni2H
1.0
-1.5577 1.5577 6.4148
1.5577 -1.5577 6.4148
1.5577 1.5577 -6.4148
Re Ni H
2 2 1
direct
0.0924 0.0924 0.0000 Re
0.9076 0.9076 0.0000 Re
0.2500 0.7500 0.5000 Ni
0.7500 0.2500 0.5000 Ni
0.5000 0.5000 0.0000 H
```